# 1
First-principles (GGA-PBE) data for a relaxed BSbTe2I crystal, as listed in Alexandria.

E, Ry per atom: -0.179
Spin magnetization, μB per cell: 0.00

```
data_BSbTe2I
_symmetry_space_group_name_H-M 'P 4/m m m'
_symmetry_Int_Tables_number 123
_symmetry_space_group_name_Hall '-P 4 2'
_cell_length_a 5.774
_cell_length_b 5.774
_cell_length_c 5.964
_cell_angle_alpha 90.00
_cell_angle_beta 90.00
_cell_angle_gamma 90.00
loop_
_atom_site_label
_atom_site_type_symbol
_atom_site_fract_x
_atom_site_fract_y
_atom_site_fract_z
_atom_site_occupancy
B1 B 0.000 0.000 0.000 1
Sb1 Sb 0.500 0.500 0.500 1
Te1 Te 0.000 0.500 0.500 1
I1 I 0.500 0.500 0.000 1
```

=====

# 2
First-principles (GGA-PBE) data for a relaxed La2BPb crystal, as listed in Alexandria.

ΔE_f, eV/f.u.: 0.251
Spin magnetization, μB per cell: 0.00

```
data_La2BPb
_symmetry_space_group_name_H-M 'I -4 2 d'
_symmetry_Int_Tables_number 122
_symmetry_space_group_name_Hall 'I -4 2bw'
_cell_length_a 7.941
_cell_length_b 7.941
_cell_length_c 7.410
_cell_angle_alpha 90.00
_cell_angle_beta 90.00
_cell_angle_gamma 90.00
loop_
_atom_site_label
_atom_site_type_symbol
_atom_site_fract_x
_atom_site_fract_y
_atom_site_fract_z
_atom_site_occupancy
La1 La 0.179 0.250 0.125 1
B1 B 0.000 0.000 0.000 1
Pb1 Pb 0.000 0.000 0.500 1
```

=====

# 3
First-principles (GGA-PBE) data for a relaxed Pa3Au2C crystal, as listed in Alexandria.

ΔE_f, eV/f.u.: -2.243
Spin magnetization, μB per cell: 0.00

```
data_Pa3Au2C
_symmetry_space_group_name_H-M 'C m m m'
_symmetry_Int_Tables_number 65
_symmetry_space_group_name_Hall '-C 2 2'
_cell_length_a 4.841
_cell_length_b 15.480
_cell_length_c 3.315
_cell_angle_alpha 90.00
_cell_angle_beta 90.00
_cell_angle_gamma 90.00
loop_
_atom_site_label
_atom_site_type_symbol
_atom_site_fract_x
_atom_site_fract_y
_atom_site_fract_z
_atom_site_occupancy
Pa1 Pa 0.000 0.000 0.000 1
Pa2 Pa 0.000 0.384 0.500 1
Au1 Au 0.000 0.201 0.000 1
C1 C 0.000 0.500 0.000 1
```

=====

# 4
First-principles (GGA-PBE) data for a relaxed SrIn3Sn crystal, as listed in Alexandria.

ΔE_f, eV/f.u.: -1.057
Spin magnetization, μB per cell: 0.00

```
data_SrIn3Sn
_symmetry_space_group_name_H-M 'C m c m'
_symmetry_Int_Tables_number 63
_symmetry_space_group_name_Hall '-C 2c 2'
_cell_length_a 5.498
_cell_length_b 16.475
_cell_length_c 6.559
_cell_angle_alpha 90.00
_cell_angle_beta 90.00
_cell_angle_gamma 90.00
loop_
_atom_site_label
_atom_site_type_symbol
_atom_site_fract_x
_atom_site_fract_y
_atom_site_fract_z
_atom_site_occupancy
Sr1 Sr 0.000 0.091 0.250 1
In1 In 0.000 0.133 0.750 1
In2 In 0.000 0.299 0.510 1
Sn1 Sn 0.000 0.462 0.250 1
```

=====

# 5
First-principles (GGA-PBE) data for a relaxed Al2CdAg2 crystal, as listed in Alexandria.

ΔE_f, eV/f.u.: 0.727
Spin magnetization, μB per cell: 0.00

```
data_Al2CdAg2
_symmetry_space_group_name_H-M 'I 4/m m m'
_symmetry_Int_Tables_number 139
_symmetry_space_group_name_Hall '-I 4 2'
_cell_length_a 3.966
_cell_length_b 3.966
_cell_length_c 12.732
_cell_angle_alpha 90.00
_cell_angle_beta 90.00
_cell_angle_gamma 90.00
loop_
_atom_site_label
_atom_site_type_symbol
_atom_site_fract_x
_atom_site_fract_y
_atom_site_fract_z
_atom_site_occupancy
Al1 Al 0.000 0.000 0.101 1
Cd1 Cd 0.000 0.000 0.500 1
Ag1 Ag 0.000 0.500 0.250 1
```

=====

# 6
First-principles (GGA-PBE) data for a relaxed Li5ZnGa crystal, as listed in Alexandria.

ΔE_f, eV/f.u.: -0.780
Spin magnetization, μB per cell: 0.00

```
data_Li5ZnGa
_symmetry_space_group_name_H-M 'C 1 2/c 1'
_symmetry_Int_Tables_number 15
_symmetry_space_group_name_Hall '-C 2yc'
_cell_length_a 9.699
_cell_length_b 5.391
_cell_length_c 8.962
_cell_angle_alpha 90.00
_cell_angle_beta 92.72
_cell_angle_gamma 90.00
loop_
_atom_site_label
_atom_site_type_symbol
_atom_site_fract_x
_atom_site_fract_y
_atom_site_fract_z
_atom_site_occupancy
Li1 Li 0.000 0.230 0.250 1
Li2 Li 0.143 0.004 0.008 1
Li3 Li 0.213 0.497 0.234 1
Zn1 Zn 0.000 0.228 0.750 1
Ga1 Ga 0.000 0.500 0.000 1
```

=====

# 7
First-principles (GGA-PBE) data for a relaxed ZnCrFeRu crystal, as listed in Alexandria.

ΔE_f, eV/f.u.: 0.460
Spin magnetization, μB per cell: 0.00

```
data_ZnCrFeRu
_symmetry_space_group_name_H-M 'F -4 3 m'
_symmetry_Int_Tables_number 216
_symmetry_space_group_name_Hall 'F -4 2 3'
_cell_length_a 5.828
_cell_length_b 5.828
_cell_length_c 5.828
_cell_angle_alpha 90.00
_cell_angle_beta 90.00
_cell_angle_gamma 90.00
loop_
_atom_site_label
_atom_site_type_symbol
_atom_site_fract_x
_atom_site_fract_y
_atom_site_fract_z
_atom_site_occupancy
Zn1 Zn 0.000 0.000 0.000 1
Cr1 Cr 0.000 0.000 0.500 1
Fe1 Fe 0.250 0.250 0.250 1
Ru1 Ru 0.250 0.250 0.750 1
```

=====

# 8
First-principles (GGA-PBE) data for a relaxed LiTbHoGa crystal, as listed in Alexandria.

ΔE_f, eV/f.u.: -1.255
Spin magnetization, μB per cell: 0.00

```
data_LiTbHoGa
_symmetry_space_group_name_H-M 'F -4 3 m'
_symmetry_Int_Tables_number 216
_symmetry_space_group_name_Hall 'F -4 2 3'
_cell_length_a 7.204
_cell_length_b 7.204
_cell_length_c 7.204
_cell_angle_alpha 90.00
_cell_angle_beta 90.00
_cell_angle_gamma 90.00
loop_
_atom_site_label
_atom_site_type_symbol
_atom_site_fract_x
_atom_site_fract_y
_atom_site_fract_z
_atom_site_occupancy
Li1 Li 0.000 0.000 0.000 1
Tb1 Tb 0.250 0.250 0.250 1
Ho1 Ho 0.250 0.250 0.750 1
Ga1 Ga 0.000 0.000 0.500 1
```

=====

# 9
First-principles (GGA-PBE) data for a relaxed KMo2Au crystal, as listed in Alexandria.

ΔE_f, eV/f.u.: 3.734
Spin magnetization, μB per cell: 0.00

```
data_KMo2Au
_symmetry_space_group_name_H-M 'P 4/m m m'
_symmetry_Int_Tables_number 123
_symmetry_space_group_name_Hall '-P 4 2'
_cell_length_a 3.704
_cell_length_b 3.704
_cell_length_c 7.608
_cell_angle_alpha 90.00
_cell_angle_beta 90.00
_cell_angle_gamma 90.00
loop_
_atom_site_label
_atom_site_type_symbol
_atom_site_fract_x
_atom_site_fract_y
_atom_site_fract_z
_atom_site_occupancy
K1 K 0.000 0.000 0.000 1
Mo1 Mo 0.500 0.500 0.361 1
Au1 Au 0.000 0.000 0.500 1
```

=====

# 10
First-principles (GGA-PBE) data for a relaxed Pa5SiSb3 crystal, as listed in Alexandria.

E, Ry per atom: -0.573
Spin magnetization, μB per cell: 0.00

```
data_Pa5SiSb3
_symmetry_space_group_name_H-M 'P 63/m c m'
_symmetry_Int_Tables_number 193
_symmetry_space_group_name_Hall '-P 6c 2'
_cell_length_a 9.1558
_cell_length_b 9.1558
_cell_length_c 6.1655
_cell_angle_alpha 90.00
_cell_angle_beta 90.00
_cell_angle_gamma 120.00
loop_
_atom_site_label
_atom_site_type_symbol
_atom_site_fract_x
_atom_site_fract_y
_atom_site_fract_z
_atom_site_occupancy
Pa1 Pa 0.0000 0.2648 0.2500 1
Pa2 Pa 0.3333 0.6667 0.0000 1
Si1 Si 0.0000 0.0000 0.0000 1
Sb1 Sb 0.0000 0.3849 0.7500 1
```

=====

# 11
First-principles (GGA-PBE) data for a relaxed Zn2RePt crystal, as listed in Alexandria.

ΔE_f, eV/f.u.: 0.117
Spin magnetization, μB per cell: 0.00

```
data_Zn2RePt
_symmetry_space_group_name_H-M 'P m m m'
_symmetry_Int_Tables_number 47
_symmetry_space_group_name_Hall '-P 2 2'
_cell_length_a 2.752
_cell_length_b 3.531
_cell_length_c 5.975
_cell_angle_alpha 90.00
_cell_angle_beta 90.00
_cell_angle_gamma 90.00
loop_
_atom_site_label
_atom_site_type_symbol
_atom_site_fract_x
_atom_site_fract_y
_atom_site_fract_z
_atom_site_occupancy
Zn1 Zn 0.000 0.000 0.244 1
Re1 Re 0.500 0.500 0.500 1
Pt1 Pt 0.500 0.500 0.000 1
```

=====

# 12
First-principles (GGA-PBE) data for a relaxed Tl2Te4Rh3 crystal, as listed in Alexandria.

E, Ry per atom: -0.339
Spin magnetization, μB per cell: 0.00

```
data_Tl2Te4Rh3
_symmetry_space_group_name_H-M 'I b a m'
_symmetry_Int_Tables_number 72
_symmetry_space_group_name_Hall '-I 2 2c'
_cell_length_a 5.942
_cell_length_b 12.355
_cell_length_c 13.050
_cell_angle_alpha 90.00
_cell_angle_beta 90.00
_cell_angle_gamma 90.00
loop_
_atom_site_label
_atom_site_type_symbol
_atom_site_fract_x
_atom_site_fract_y
_atom_site_fract_z
_atom_site_occupancy
Tl1 Tl 0.205 0.143 0.000 1
Te1 Te 0.216 0.384 0.147 1
Rh1 Rh 0.000 0.000 0.250 1
Rh2 Rh 0.000 0.235 0.250 1
```